Computed, not measured: an optimized crystal structure of Tl3Os at the PBE level of DFT.

- Calculated volume: 385 Å³ per cell
- E above lowest polymorph: 0.4772 eV per atom
- Space group: I4/mmm
- D(E_F): 3.4 states/eV/f.u.
- Formation energy: 353 kJ/mol of formula units

Cell: 4.286 4.286 20.978 Å, 90.00 90.00 90.00°
Fractional coordinates of all 16 atoms:
1 Tl 0.000 0.000 0.126
2 Tl 0.000 0.000 0.874
3 Tl 0.000 0.500 0.000
4 Tl 0.000 0.500 0.250
5 Tl 0.000 0.500 0.500
6 Tl 0.000 0.500 0.750
7 Tl 0.500 0.000 0.000
8 Tl 0.500 0.000 0.250
9 Tl 0.500 0.000 0.500
10 Tl 0.500 0.000 0.750
11 Tl 0.500 0.500 0.374
12 Tl 0.500 0.500 0.626
13 Os 0.000 0.000 0.343
14 Os 0.000 0.000 0.657
15 Os 0.500 0.500 0.157
16 Os 0.500 0.500 0.843